1.
DFT (PBE-GGA) results for crystalline ZnNi2Mo at its relaxed geometry.

abc: 4.4369 4.4369 2.6332
angles: 90.00 90.00 90.00
Element x y z (fractional)
1 Zn 0.5000 0.0000 0.5000
2 Mo 0.0000 0.5000 0.5000
3 Ni 0.5000 0.5000 0.0000
4 Ni 0.0000 0.0000 0.0000

Results
- DFT formation energy: 0.0242 eV/atom
- Space group: P4/mmm
- Total moment: 0.00 μB/cell
- Calculated density: 8.9 Mg/m³



2.
DFT (PBE-GGA) results for crystalline Zn2Ni3Mo at its relaxed geometry.

abc: 2.6821 2.6821 10.4157
angles: 90.00 90.00 90.00
Element x y z (fractional)
1 Zn 0.5000 0.5000 0.1602
2 Zn 0.5000 0.5000 0.8398
3 Mo 0.5000 0.5000 0.5000
4 Ni 0.0000 0.0000 0.3233
5 Ni 0.0000 0.0000 0.6767
6 Ni 0.0000 0.0000 0.0000

Results
- DFT formation energy: -0.1681 eV/atom
- Space group: P4/mmm
- Total moment: 0.00 μB/cell
- Calculated density: 8.9 Mg/m³



3.
DFT (PBE-GGA) results for crystalline ZnNi2Mo at its relaxed geometry.

abc: 2.6440 2.6440 7.3340
angles: 90.00 90.00 90.00
Element x y z (fractional)
1 Zn 0.0000 0.0000 0.4749
2 Mo 0.5000 0.5000 0.7653
3 Ni 0.0000 0.0000 0.0176
4 Ni 0.5000 0.5000 0.2422

Results
- DFT formation energy: -0.0041 eV/atom
- Space group: P4mm
- Total moment: 0.03 μB/cell
- Calculated density: 9.0 Mg/m³